Entry 1:
# KBe2Re

A relaxed structure of KBe2Re (PBE, Alexandria).

a b c (Å): 4.3362 4.3362 6.7056
angles (deg): 84.38 84.38 35.06
With the nearest neighbours (Å) after each atom.
Positions (direct):
Be: 0.4885 0.4885 0.6255  2 Be 2.14, 1 Re 2.40
Be: 0.0115 0.0115 0.8745  2 Be 2.14, 1 Re 2.40
K: 0.2500 0.2500 0.2500  2 K 2.61
Re: 0.7500 0.7500 0.7500  6 Be 2.40-2.44, 2 Re 2.61

Summary:
V (Å³ per cell): 72
Offset from the most stable computed form (eV/atom): 0.186
D(E_F) (states/eV/cell): 1.617
Formation energy (eV per atom): 0.648



Entry 2:
# FeAgS2N

A relaxed structure of FeAgS2N (PBE, Alexandria).

a b c (Å): 4.8961 4.8961 3.9500
angles (deg): 90.00 90.00 90.00
With the nearest neighbours (Å) after each atom.
Positions (direct):
S: 0.0000 0.5000 0.0000  2 Ag 2.45
S: 0.5000 0.0000 0.0000  2 Ag 2.45
Ag: 0.0000 0.0000 0.0000  2 N 1.97
Fe: 0.5000 0.5000 0.5000  8 S 3.15, 4 N 3.46
N: 0.0000 0.0000 0.5000  2 Ag 1.97

Summary:
V (Å³ per cell): 95
Offset from the most stable computed form (eV/atom): 1.043
D(E_F) (states/eV/cell): 5.478
Raw formation energy (eV per formula unit): 7.43



Entry 3:
# BaZnSN2

A relaxed structure of BaZnSN2 (PBE, Alexandria).

a b c (Å): 4.3789 4.3789 4.8709
angles (deg): 90.00 90.00 90.00
With the nearest neighbours (Å) after each atom.
Positions (direct):
N: 0.0000 0.5000 0.0000  2 Zn 2.19
N: 0.5000 0.0000 0.0000  2 Zn 2.19
S: 0.0000 0.0000 0.5000  2 Zn 2.44
Zn: 0.0000 0.0000 0.0000  4 N 2.19, 2 S 2.44
Ba: 0.5000 0.5000 0.5000  4 S 3.10, 8 N 3.27

Summary:
V (Å³ per cell): 93
Offset from the most stable computed form (eV/atom): 0.000
D(E_F) (states/eV/cell): 2.031
Raw formation energy (eV per formula unit): 2.44



Entry 4:
# TeRu2W

A relaxed structure of TeRu2W (PBE, Alexandria).

a b c (Å): 4.8139 4.8139 4.8139
angles (deg): 129.99 129.99 73.42
With the nearest neighbours (Å) after each atom.
Positions (direct):
Te: 0.2500 0.7500 0.5000  8 Ru 2.80, 4 W 2.88
Ru: 0.5000 0.5000 0.0000  4 W 2.80, 4 Te 2.80, 4 Ru 2.88
Ru: 0.0000 0.0000 0.0000  4 W 2.80, 4 Te 2.80, 4 Ru 2.88
W: 0.7500 0.2500 0.5000  8 Ru 2.80, 4 Te 2.88

Summary:
V (Å³ per cell): 64
D(E_F) (states/eV/cell): 5.066
Raw formation energy (eV per formula unit): 1.68



Entry 5:
# Pm3ErC2

A relaxed structure of Pm3ErC2 (PBE, Alexandria).

a b c (Å): 3.6404 8.5028 9.9385
angles (deg): 89.51 79.45 77.64
With the nearest neighbours (Å) after each atom.
Positions (direct):
Pm: 0.9409 0.9153 0.2030  3 C 2.53
Pm: 0.8098 0.8292 0.5511  3 C 2.52-2.59
Pm: 0.1902 0.1708 0.4489  3 C 2.52-2.59
Pm: 0.6891 0.6688 0.9529  3 C 2.51-2.57
Pm: 0.3109 0.3312 0.0471  3 C 2.51-2.57
Pm: 0.0591 0.0847 0.7970  3 C 2.53
C: 0.8760 0.3805 0.8674  2 Er 2.45, 4 Pm 2.51-2.57
C: 0.1240 0.6195 0.1326  2 Er 2.45, 4 Pm 2.51-2.57
C: 0.6224 0.1316 0.6236  1 Er 2.45, 5 Pm 2.52-2.59
C: 0.3776 0.8684 0.3764  1 Er 2.45, 5 Pm 2.52-2.59
Er: 0.4413 0.4140 0.7033  3 C 2.45
Er: 0.5587 0.5860 0.2967  3 C 2.45

Summary:
V (Å³ per cell): 295
D(E_F) (states/eV/cell): 8.454
Formation energy (eV per atom): -0.178



Entry 6:
# NdMnSb2

A relaxed structure of NdMnSb2 (PBE, Alexandria).

a b c (Å): 4.2913 4.2913 7.0349
angles (deg): 72.24 72.24 60.00
With the nearest neighbours (Å) after each atom.
Positions (direct):
Nd: 0.5000 0.5000 0.5000  6 Sb 3.17
Mn: 0.0000 0.0000 0.0000  6 Sb 2.81
Sb: 0.2667 0.2667 0.2000  3 Mn 2.81
Sb: 0.7333 0.7333 0.8000  3 Mn 2.81

Summary:
V (Å³ per cell): 105
D(E_F) (states/eV/cell): 2.947
Raw formation energy (eV per formula unit): -1.60



Entry 7:
# InAuS2

A relaxed structure of InAuS2 (PBE, Alexandria).

a b c (Å): 21.3568 8.0846 8.0846
angles (deg): 85.68 121.49 58.51
With the nearest neighbours (Å) after each atom.
Positions (direct):
S: 0.7552 0.6751 0.7723  2 Au 2.32
S: 0.9952 0.1989 0.3532  3 In 2.49-2.70
S: 0.0222 0.7758 0.1750  3 In 2.52-2.65
S: 0.2552 0.7277 0.8249  2 Au 2.32
S: 0.2500 0.3036 0.8036  2 Au 2.32
S: 0.4778 0.6750 0.2758  3 In 2.52-2.65
S: 0.5048 0.8532 0.6989  3 In 2.49-2.70
S: 0.0048 0.8011 0.6468  3 In 2.49-2.70
S: 0.5222 0.3250 0.7242  3 In 2.52-2.65
S: 0.4952 0.1468 0.3011  3 In 2.49-2.70
S: 0.7448 0.2723 0.1751  2 Au 2.32
S: 0.2448 0.3249 0.2277  2 Au 2.32
S: 0.2500 0.7454 0.2454  2 Au 2.33
S: 0.7500 0.2546 0.7546  2 Au 2.33
S: 0.7500 0.6964 0.1964  2 Au 2.32
S: 0.9778 0.2242 0.8250  3 In 2.52-2.65
Au: 0.2257 0.0550 0.7771  2 S 2.32
Au: 0.7743 0.9450 0.2229  2 S 2.32
Au: 0.2270 0.0662 0.1923  2 S 2.32-2.33
Au: 0.2730 0.6923 0.5662  2 S 2.32-2.33
Au: 0.2743 0.2771 0.5550  2 S 2.32
Au: 0.7270 0.3077 0.4338  2 S 2.32-2.33
Au: 0.7257 0.7229 0.4450  2 S 2.32
Au: 0.7730 0.9338 0.8077  2 S 2.32-2.33
In: 0.4062 0.5111 0.2877  4 S 2.49-2.65
In: 0.5938 0.4889 0.7123  4 S 2.49-2.65
In: 0.8933 0.2441 0.4458  5 S 2.52-2.75
In: 0.9062 0.2123 0.9889  4 S 2.49-2.65
In: 0.3933 0.0542 0.2559  5 S 2.52-2.75
In: 0.0938 0.7877 0.0111  4 S 2.49-2.65
In: 0.6067 0.9458 0.7441  5 S 2.52-2.75
In: 0.1067 0.7559 0.5542  5 S 2.52-2.75

Summary:
V (Å³ per cell): 891
D(E_F) (states/eV/cell): 0.000
Raw formation energy (eV per formula unit): -1.26



Entry 8:
# Pa5Si2Tc5

A relaxed structure of Pa5Si2Tc5 (PBE, Alexandria).

a b c (Å): 4.2628 6.9935 10.4966
angles (deg): 124.60 90.00 107.74
With the nearest neighbours (Å) after each atom.
Positions (direct):
Tc: 0.0870 0.1739 0.3265  1 Si 2.47, 2 Pa 2.57
Tc: 0.7348 0.4696 0.7675  2 Si 2.52, 3 Pa 2.68-2.79
Tc: 0.2652 0.5304 0.2325  2 Si 2.52, 3 Pa 2.68-2.79
Tc: 0.9130 0.8261 0.6735  1 Si 2.47, 2 Pa 2.57
Tc: 0.0000 0.0000 0.0000  4 Pa 2.81, 4 Tc 2.86-2.89
Si: 0.1313 0.2627 0.7630  3 Tc 2.47-2.52
Si: 0.8687 0.7373 0.2370  3 Tc 2.47-2.52
Pa: 0.2972 0.5943 0.6548  5 Tc 2.57-2.87
Pa: 0.3896 0.7791 0.0498  2 Tc 2.81, 3 Si 2.92-3.02
Pa: 0.7028 0.4057 0.3452  5 Tc 2.57-2.87
Pa: 0.6104 0.2209 0.9502  2 Tc 2.81, 3 Si 2.92-3.02
Pa: 0.5000 0.0000 0.5000  2 Tc 2.68

Summary:
V (Å³ per cell): 239
D(E_F) (states/eV/cell): 11.772
Raw formation energy (eV per formula unit): -4.31



Entry 9:
# Cs2BeCdRe

A relaxed structure of Cs2BeCdRe (PBE, Alexandria).

a b c (Å): 6.7397 6.7397 4.7411
angles (deg): 90.00 90.00 90.00
With the nearest neighbours (Å) after each atom.
Positions (direct):
Cd: 0.0000 0.0000 0.5000  2 Be 2.37
Cs: 0.0000 0.5000 0.0000  2 Be 3.37
Cs: 0.5000 0.0000 0.0000  2 Be 3.37
Re: 0.5000 0.5000 0.5000  8 Cs 4.12
Be: 0.0000 0.0000 0.0000  2 Cd 2.37

Summary:
V (Å³ per cell): 215
D(E_F) (states/eV/cell): 5.929
Formation energy (eV per atom): 1.603



| no. | uncorrected energy (eV/atom) |
| --- | --- |
| 1 | -4.602 |
| 2 | -4.093 |
| 3 | -4.307 |
| 4 | -8.241 |
| 5 | -6.388 |
| 6 | -5.946 |
| 7 | -3.883 |
| 8 | -9.539 |
| 9 | -2.157 |